[1]
A plane-wave DFT calculation with PBE was carried out for crystalline SrCuOs2 at its relaxed geometry.

Cell and atoms, written as extended XYZ:
```
4
Lattice="-1.916 1.916 4.935 1.916 -1.916 4.935 1.916 1.916 -4.935" Properties=species:S:1:pos:R:3 pbc="T T T"
Sr 0.000 0.000 0.000
Cu 0.000 0.000 4.935
Os 1.916 0.000 2.467
Os 0.000 1.916 2.467
```

Calculated values
The value obtained for the formation energy from the elements is 1027 meV/atom. As for the space-group type: I4/mmm.

[2]
A plane-wave DFT calculation with PBE was carried out for crystalline Sm8Ge3Se4 at its relaxed geometry.

Cell and atoms, written as extended XYZ:
```
15
Lattice="5.901 -5.921 0.000 5.901 5.921 0.000 -5.871 0.000 5.921" Properties=species:S:1:pos:R:3 pbc="T T T"
Sm -2.982 0.000 5.920
Sm -0.016 0.000 2.936
Sm 5.901 2.991 0.000
Sm 2.965 2.963 2.961
Sm 2.965 -2.963 2.961
Sm 5.901 -2.991 0.000
Sm 8.912 0.000 0.001
Sm 5.947 0.000 2.985
Ge 0.000 0.000 0.000
Ge 0.015 2.960 2.961
Ge 0.015 -2.960 2.961
Se 2.951 2.960 0.000
Se 2.951 -2.960 0.000
Se 5.901 0.000 0.000
Se 2.965 0.000 2.961
```

Calculated values
The calculation puts the uncorrected formation energy at -1.36 eV/atom. As for the space-group type: C2/m.

[3]
A plane-wave DFT calculation with PBE was carried out for crystalline LiNiSnRh at its relaxed geometry.

Cell and atoms, written as extended XYZ:
```
4
Lattice="-2.086 2.086 3.299 2.086 -2.086 3.299 2.086 2.086 -3.299" Properties=species:S:1:pos:R:3 pbc="T T T"
Li 0.000 0.000 0.000
Ni 0.000 2.086 1.649
Sn 0.000 0.000 3.299
Rh 2.086 0.000 1.649
```

Calculated values
The value obtained for the formation energy from the elements is -409 meV/atom. As for the space-group type: I-4m2.

[4]
A plane-wave DFT calculation with PBE was carried out for crystalline SrCa2Se at its relaxed geometry.

Cell and atoms, written as extended XYZ:
```
4
Lattice="2.049 1.183 10.473 -2.049 1.183 10.473 0.000 -2.366 10.473" Properties=species:S:1:pos:R:3 pbc="T T T"
Sr 0.000 0.000 0.000
Ca 0.000 0.000 7.020
Ca 0.000 0.000 24.398
Se 0.000 0.000 15.709
```

Calculated values
The calculation puts the uncorrected formation energy at -0.91 eV/atom. As for the space-group type: R-3m.

[5]
A plane-wave DFT calculation with PBE was carried out for crystalline K2Rb4Ag2O at its relaxed geometry.

Cell and atoms, written as extended XYZ:
```
9
Lattice="6.928 -4.055 0.000 6.928 4.055 0.000 -0.766 0.000 6.870" Properties=species:S:1:pos:R:3 pbc="T T T"
K 1.992 0.000 1.716
K 11.098 0.000 5.153
Rb 5.614 2.074 1.401
Rb 7.476 2.074 5.469
Rb 5.614 -2.074 1.401
Rb 7.476 -2.074 5.469
Ag 3.979 0.000 5.125
Ag 9.111 0.000 1.745
O 0.000 0.000 0.000
```

Calculated values
The calculation puts the uncorrected formation energy at -0.28 eV/atom. As for the space-group type: C2/m.

[6]
A plane-wave DFT calculation with PBE was carried out for crystalline Al2C2N at its relaxed geometry.

Cell and atoms, written as extended XYZ:
```
10
Lattice="5.549 0.000 0.000 0.000 5.549 0.000 0.000 0.000 3.194" Properties=species:S:1:pos:R:3 pbc="T T T"
Al 1.353 1.421 0.000
Al 1.421 4.196 0.000
Al 4.128 1.353 0.000
Al 4.196 4.128 0.000
C 0.474 3.248 1.597
C 2.301 0.474 1.597
C 3.248 5.075 1.597
C 5.075 2.301 1.597
N 0.000 0.000 0.000
N 2.774 2.774 0.000
```

Calculated values
The calculation puts the uncorrected formation energy at 0.29 eV/atom. As for the space-group type: P4/mbm.

Listing energy for the structures above in their given order: -6.032 -5.729 -5.171 -3.202 -2.138 -6.561 eV per atom.